GGA+U CsVF3, optimized geometry; DFT total energy = -4.913 eV per atom; symmetry = No. 99
1.0
3.795 0.000 0.000
0.000 3.795 0.000
0.000 0.000 7.114
Cs V F
1 1 3
Direct
0.000 0.000 0.000
0.500 0.500 0.429
0.000 0.000 0.626
0.000 0.500 0.307
0.500 0.000 0.307